Computed, not measured: a relaxed structure of CaTb2Sm at the PBE level of DFT.

Summary:
Energy relative to the elements   0.465 eV/f.u.
Calculated total energy   -3.879 eV per atom
Calculated density   6.1 g cm⁻³
E above lowest polymorph   59 meV/atom

CIF file:
```
data_CaTb2Sm
_cell_length_a 24.140
_cell_length_b 3.517
_cell_length_c 6.494
_cell_angle_alpha 90.00
_cell_angle_beta 94.16
_cell_angle_gamma 90.00
_space_group_name_H-M_alt 'C 1 2/m 1'
_space_group_IT_number 12
_space_group_name_Hall '-C 2y'
loop_
_atom_site_label
_atom_site_fract_x
_atom_site_fract_y
_atom_site_fract_z
_atom_site_occupancy
Ca1 0.001 0.000 0.249 1
Tb1 0.126 0.500 0.036 1
Tb2 0.135 0.000 0.546 1
Sm1 0.248 0.000 0.249 1
```